(1)
# Cr4Se3N2

Cr4Se3N2 after structural relaxation (PBE, Alexandria via LeMat-Bulk).

Geometry as extended XYZ:
```
18
Lattice="6.460 0.000 0.000 0.000 13.137 0.000 0.000 0.000 3.362" Properties=species:S:1:pos:R:3 pbc="T T T"
Cr 1.215 0.811 0.000
Cr 1.268 11.252 1.681
Cr 1.962 4.684 0.000
Cr 2.015 7.379 1.681
Cr 4.445 5.758 1.681
Cr 4.498 8.453 0.000
Cr 5.191 1.885 1.681
Cr 5.245 12.326 0.000
Se 0.000 6.568 0.000
Se 1.072 2.844 1.681
Se 2.158 9.412 0.000
Se 3.230 0.000 1.681
Se 4.302 3.725 0.000
Se 5.388 10.293 1.681
N 0.739 12.096 0.000
N 2.491 5.527 1.681
N 3.969 7.610 1.681
N 5.721 1.041 0.000
```

Results
Crystal system: orthorhombic
DFT total energy: -7.56 eV/atom


(2)
# NdSmPd4

NdSmPd4 after structural relaxation (PBE, Alexandria via LeMat-Bulk).

Geometry as extended XYZ:
```
6
Lattice="0.000 3.899 3.899 3.899 0.000 3.899 3.899 3.899 0.000" Properties=species:S:1:pos:R:3 pbc="T T T"
Nd 0.000 0.000 0.000
Sm 5.849 5.849 5.849
Pd 2.926 2.926 2.926
Pd 4.873 4.873 2.926
Pd 4.873 2.926 4.873
Pd 2.926 4.873 4.873
```

Results
Crystal system: cubic
Energy above the lowest structure with this stoichiometry: 0.040 eV per atom
DFT formation energy: -772 meV per atom


(3)
# CrRhW2

CrRhW2 after structural relaxation (PBE, Alexandria via LeMat-Bulk).

Geometry as extended XYZ:
```
4
Lattice="1.371 0.791 9.153 -1.371 0.791 9.153 0.000 -1.583 9.153" Properties=species:S:1:pos:R:3 pbc="T T T"
Cr 0.000 0.000 0.000
Rh 0.000 0.000 20.349
W 0.000 0.000 6.857
W 0.000 0.000 13.509
```

Results
Crystal system: trigonal
Energy above the lowest structure with this stoichiometry: 0.180 eV per atom
DFT formation energy: 273 meV per atom


| no. | spin magnetization (μB/cell) |
| --- | --- |
| 1 | 23.10 |
| 2 | 0.00 |
| 3 | 0.67 |